1:
## TaPdRu2 (PBE)

Data for a relaxed structure of TaPdRu2.

```
data_TaPdRu2
_chemical_formula_sum 'Ta1 Pd1 Ru2'
_symmetry_space_group_name_H-M 'P 4/m m m'
_symmetry_Int_Tables_number 123
_symmetry_space_group_name_Hall '-P 4 2'
_cell_length_a 3.9474
_cell_length_b 3.9474
_cell_length_c 3.8530
_cell_angle_alpha 90.00
_cell_angle_beta 90.00
_cell_angle_gamma 90.00
loop_
_atom_site_label
_atom_site_fract_x
_atom_site_fract_y
_atom_site_fract_z
Ta1 0.0000 0.0000 0.0000
Pd1 0.5000 0.5000 0.0000
Ru1 0.0000 0.5000 0.5000
```

***

2:
## TaPdRu2 (PBE)

Data for a relaxed structure of TaPdRu2.

```
data_TaPdRu2
_chemical_formula_sum 'Ta4 Pd4 Ru8'
_symmetry_space_group_name_H-M 'I -4 2 d'
_symmetry_Int_Tables_number 122
_symmetry_space_group_name_Hall 'I -4 2bw'
_cell_length_a 3.8361
_cell_length_b 3.8361
_cell_length_c 18.1374
_cell_angle_alpha 90.00
_cell_angle_beta 90.00
_cell_angle_gamma 90.00
loop_
_atom_site_label
_atom_site_fract_x
_atom_site_fract_y
_atom_site_fract_z
Ta1 0.0000 0.0000 0.0000
Pd1 0.0000 0.0000 0.5000
Ru1 0.2134 0.2500 0.6250
```

***

3:
## TaPdRu2 (PBE)

Data for a relaxed structure of TaPdRu2.

```
data_TaPdRu2
_chemical_formula_sum 'Ta4 Pd4 Ru8'
_symmetry_space_group_name_H-M 'F m -3 m'
_symmetry_Int_Tables_number 225
_symmetry_space_group_name_Hall '-F 4 2 3'
_cell_length_a 6.2609
_cell_length_b 6.2609
_cell_length_c 6.2609
_cell_angle_alpha 90.00
_cell_angle_beta 90.00
_cell_angle_gamma 90.00
loop_
_atom_site_label
_atom_site_fract_x
_atom_site_fract_y
_atom_site_fract_z
Ta1 0.0000 0.0000 0.0000
Pd1 0.0000 0.0000 0.5000
Ru1 0.2500 0.2500 0.2500
```

***

Which one sits at the top of the stability order? 1 does.

***

1:
## TaPdRu (PBE)

Data for a relaxed structure of TaPdRu.

```
data_TaPdRu
_chemical_formula_sum 'Ta1 Pd1 Ru1'
_symmetry_space_group_name_H-M 'P 3 m 1'
_symmetry_Int_Tables_number 156
_cell_length_a 4.4590
_cell_length_b 4.4590
_cell_length_c 2.7553
_cell_angle_alpha 90.00
_cell_angle_beta 90.00
_cell_angle_gamma 120.00
loop_
_symmetry_equiv_pos_as_xyz
'x,y,z'
'-y,x-y,z'
'-x+y,-x,z'
'-y,-x,z'
'-x+y,y,z'
'x,x-y,z'
loop_
_atom_site_label
_atom_site_fract_x
_atom_site_fract_y
_atom_site_fract_z
Ta1 0.0000 0.0000 0.0000
Pd1 0.6667 0.3333 0.7498
Ru1 0.3333 0.6667 0.2988
```

***

2:
## TaPdRu (PBE)

Data for a relaxed structure of TaPdRu.

```
data_TaPdRu
_chemical_formula_sum 'Ta2 Pd2 Ru2'
_symmetry_space_group_name_H-M 'P 63/m m c'
_symmetry_Int_Tables_number 194
_symmetry_space_group_name_Hall '-P 6c 2c'
_cell_length_a 4.4970
_cell_length_b 4.4970
_cell_length_c 5.4135
_cell_angle_alpha 90.00
_cell_angle_beta 90.00
_cell_angle_gamma 120.00
loop_
_atom_site_label
_atom_site_fract_x
_atom_site_fract_y
_atom_site_fract_z
Ta1 0.3333 0.6667 0.2500
Pd1 0.0000 0.0000 0.0000
Ru1 0.3333 0.6667 0.7500
```

***

3:
## TaPdRu (PBE)

Data for a relaxed structure of TaPdRu.

```
data_TaPdRu
_chemical_formula_sum 'Ta4 Pd4 Ru4'
_symmetry_space_group_name_H-M 'C 1 2/m 1'
_symmetry_Int_Tables_number 12
_cell_length_a 12.2741
_cell_length_b 2.9996
_cell_length_c 5.4423
_cell_angle_alpha 90.00
_cell_angle_beta 106.10
_cell_angle_gamma 90.00
loop_
_symmetry_equiv_pos_as_xyz
'x,y,z'
'-x,-y,-z'
'-x,y,-z'
'x,-y,z'
'x+1/2,y+1/2,z'
'-x+1/2,-y+1/2,-z'
'-x+1/2,y+1/2,-z'
'x+1/2,-y+1/2,z'
loop_
_atom_site_label
_atom_site_fract_x
_atom_site_fract_y
_atom_site_fract_z
Ta1 0.1591 0.0000 0.1016
Pd1 0.0021 0.5000 0.7438
Ru1 0.1811 0.0000 0.6268
```

***

4:
## TaPdRu (PBE)

Data for a relaxed structure of TaPdRu.

```
data_TaPdRu
_chemical_formula_sum 'Ta2 Pd2 Ru2'
_symmetry_space_group_name_H-M 'I 4 m m'
_symmetry_Int_Tables_number 107
_symmetry_space_group_name_Hall 'I 4 -2'
_cell_length_a 3.2258
_cell_length_b 3.2258
_cell_length_c 9.3020
_cell_angle_alpha 90.00
_cell_angle_beta 90.00
_cell_angle_gamma 90.00
loop_
_atom_site_label
_atom_site_fract_x
_atom_site_fract_y
_atom_site_fract_z
Ta1 0.0000 0.0000 0.0000
Pd1 0.0000 0.0000 0.6680
Ru1 0.0000 0.0000 0.3597
```

***

Which one sits at the top of the stability order? 2 does.

***

1:
## Ta3PdRu (PBE)

Data for a relaxed structure of Ta3PdRu.

```
data_Ta3PdRu
_chemical_formula_sum 'Ta3 Pd1 Ru1'
_symmetry_space_group_name_H-M 'P m -3 m'
_symmetry_Int_Tables_number 221
_symmetry_space_group_name_Hall '-P 4 2 3'
_cell_length_a 4.7514
_cell_length_b 4.7514
_cell_length_c 4.7514
_cell_angle_alpha 90.00
_cell_angle_beta 90.00
_cell_angle_gamma 90.00
loop_
_atom_site_label
_atom_site_fract_x
_atom_site_fract_y
_atom_site_fract_z
Ta1 0.0000 0.0000 0.5000
Pd1 0.5000 0.5000 0.5000
Ru1 0.0000 0.0000 0.0000
```

***

2:
## Ta3PdRu (PBE)

Data for a relaxed structure of Ta3PdRu.

```
data_Ta3PdRu
_chemical_formula_sum 'Ta3 Pd1 Ru1'
_symmetry_space_group_name_H-M 'P m -3 m'
_symmetry_Int_Tables_number 221
_symmetry_space_group_name_Hall '-P 4 2 3'
_cell_length_a 4.7525
_cell_length_b 4.7525
_cell_length_c 4.7525
_cell_angle_alpha 90.00
_cell_angle_beta 90.00
_cell_angle_gamma 90.00
loop_
_atom_site_label
_atom_site_fract_x
_atom_site_fract_y
_atom_site_fract_z
Ta1 0.0000 0.0000 0.5000
Pd1 0.0000 0.0000 0.0000
Ru1 0.5000 0.5000 0.5000
```

***

Which one sits at the top of the stability order? 1 does.

***

1:
## Ta2PdRu2 (PBE)

Data for a relaxed structure of Ta2PdRu2.

```
data_Ta2PdRu2
_chemical_formula_sum 'Ta4 Pd2 Ru4'
_symmetry_space_group_name_H-M 'P 4/m b m'
_symmetry_Int_Tables_number 127
_symmetry_space_group_name_Hall '-P 4 2ab'
_cell_length_a 7.3596
_cell_length_b 7.3596
_cell_length_c 3.0502
_cell_angle_alpha 90.00
_cell_angle_beta 90.00
_cell_angle_gamma 90.00
loop_
_atom_site_label
_atom_site_fract_x
_atom_site_fract_y
_atom_site_fract_z
Ta1 0.1616 0.3384 0.0000
Pd1 0.0000 0.0000 0.5000
Ru1 0.1368 0.6368 0.5000
```

***

2:
## Ta2PdRu2 (PBE)

Data for a relaxed structure of Ta2PdRu2.

```
data_Ta2PdRu2
_chemical_formula_sum 'Ta4 Pd2 Ru4'
_symmetry_space_group_name_H-M 'P 4/m b m'
_symmetry_Int_Tables_number 127
_symmetry_space_group_name_Hall '-P 4 2ab'
_cell_length_a 7.4864
_cell_length_b 7.4864
_cell_length_c 2.9957
_cell_angle_alpha 90.00
_cell_angle_beta 90.00
_cell_angle_gamma 90.00
loop_
_atom_site_label
_atom_site_fract_x
_atom_site_fract_y
_atom_site_fract_z
Ta1 0.1520 0.3480 0.0000
Pd1 0.0000 0.0000 0.0000
Ru1 0.1446 0.6446 0.5000
```

***

Which one sits at the top of the stability order? 1 does.

***

1:
## Tb3PdRu (PBE)

Data for a relaxed structure of Tb3PdRu.

```
data_Tb3PdRu
_chemical_formula_sum 'Tb6 Pd2 Ru2'
_symmetry_space_group_name_H-M 'P -1'
_symmetry_Int_Tables_number 2
_cell_length_a 5.8463
_cell_length_b 5.8744
_cell_length_c 8.2341
_cell_angle_alpha 102.28
_cell_angle_beta 102.02
_cell_angle_gamma 114.09
loop_
_symmetry_equiv_pos_as_xyz
'x,y,z'
'-x,-y,-z'
loop_
_atom_site_label
_atom_site_fract_x
_atom_site_fract_y
_atom_site_fract_z
Tb1 0.0701 0.2150 0.2862
Tb2 0.2850 0.4281 0.7131
Tb3 0.3150 0.8154 0.1312
Pd1 0.2903 0.7870 0.5000
Ru1 0.2501 0.2501 0.9999
```

***

2:
## Tb3PdRu (PBE)

Data for a relaxed structure of Tb3PdRu.

```
data_Tb3PdRu
_chemical_formula_sum 'Tb12 Pd4 Ru4'
_symmetry_space_group_name_H-M 'P 1 21/c 1'
_symmetry_Int_Tables_number 14
_cell_length_a 8.6459
_cell_length_b 7.3437
_cell_length_c 8.0977
_cell_angle_alpha 90.00
_cell_angle_beta 108.60
_cell_angle_gamma 90.00
loop_
_symmetry_equiv_pos_as_xyz
'x,y,z'
'-x,-y,-z'
'-x,y+1/2,-z+1/2'
'x,-y+1/2,z+1/2'
loop_
_atom_site_label
_atom_site_fract_x
_atom_site_fract_y
_atom_site_fract_z
Tb1 0.0392 0.0062 0.2143
Tb2 0.2724 0.6542 0.1023
Tb3 0.3549 0.1883 0.9781
Pd1 0.4111 0.5362 0.8086
Ru1 0.0815 0.1843 0.5389
```

***

Which one sits at the top of the stability order? 2 does.

***

1:
## TbYPdRu (PBE)

Data for a relaxed structure of TbYPdRu.

```
data_TbYPdRu
_chemical_formula_sum 'Tb4 Y4 Pd4 Ru4'
_symmetry_space_group_name_H-M 'F -4 3 m'
_symmetry_Int_Tables_number 216
_symmetry_space_group_name_Hall 'F -4 2 3'
_cell_length_a 6.9228
_cell_length_b 6.9228
_cell_length_c 6.9228
_cell_angle_alpha 90.00
_cell_angle_beta 90.00
_cell_angle_gamma 90.00
loop_
_atom_site_label
_atom_site_fract_x
_atom_site_fract_y
_atom_site_fract_z
Tb1 0.0000 0.0000 0.0000
Y1 0.0000 0.0000 0.5000
Pd1 0.2500 0.2500 0.2500
Ru1 0.2500 0.2500 0.7500
```

***

2:
## TbYPdRu (PBE)

Data for a relaxed structure of TbYPdRu.

```
data_TbYPdRu
_chemical_formula_sum 'Tb1 Y1 Pd1 Ru1'
_symmetry_space_group_name_H-M 'P 4 m m'
_symmetry_Int_Tables_number 99
_cell_length_a 3.4567
_cell_length_b 3.4567
_cell_length_c 6.9747
_cell_angle_alpha 90.00
_cell_angle_beta 90.00
_cell_angle_gamma 90.00
loop_
_symmetry_equiv_pos_as_xyz
'x,y,z'
'-y,x,z'
'-x,-y,z'
'y,-x,z'
'-x,y,z'
'y,x,z'
'x,-y,z'
'-y,-x,z'
loop_
_atom_site_label
_atom_site_fract_x
_atom_site_fract_y
_atom_site_fract_z
Tb1 0.0000 0.0000 0.0000
Y1 0.0000 0.0000 0.5200
Pd1 0.5000 0.5000 0.2592
Ru1 0.5000 0.5000 0.7615
```

***

Which one sits at the top of the stability order? 2 does.